This record from Alexandria via LeMat-Bulk describes PmNdEr3Th after structural relaxation. The functional is GGA-PBE.

a b c (Å): 5.6181 10.2467 7.0560
angles (deg): 90.09 90.00 105.91
With the nearest neighbours (Å) after each atom.
Fractional coordinates of all 12 atoms:
1 Er 0.8422 0.6844 0.2478  2 Pm 3.47, 2 Nd 3.49, 6 Er 3.68-3.86
2 Er 0.5235 0.0470 0.7514  1 Pm 3.18, 1 Nd 3.19, 2 Th 3.20
3 Er 0.2213 0.4427 0.2508  3 Pm 3.29-3.49, 3 Nd 3.29-3.50, 1 Th 3.30, 2 Er 3.68
4 Er 0.7787 0.5573 0.7492  3 Pm 3.29-3.49, 3 Nd 3.29-3.50, 1 Th 3.30, 2 Er 3.68
5 Er 0.1578 0.3156 0.7522  2 Pm 3.47, 2 Nd 3.49, 6 Er 3.68-3.86
6 Er 0.4765 0.9530 0.2486  1 Pm 3.18, 1 Nd 3.19, 2 Th 3.20
7 Nd 0.3527 0.7055 0.5397  1 Pm 2.97, 2 Er 3.19-3.29
8 Nd 0.6473 0.2945 0.4603  1 Pm 2.97, 2 Er 3.19-3.29
9 Th 0.0540 0.1080 0.2447  3 Er 3.20-3.30
10 Th 0.9460 0.8920 0.7553  3 Er 3.20-3.30
11 Pm 0.6480 0.2960 0.0389  1 Nd 2.97, 2 Er 3.18-3.29
12 Pm 0.3520 0.7040 0.9611  1 Nd 2.97, 2 Er 3.18-3.29

Properties
Crystal system: monoclinic
Magnetic moment (μB/f.u.): 0.00
E_tot (eV for the cell shown): -58.6
Energy of formation from the pure elements (kJ/mol of formula units): 126


This record from Alexandria via LeMat-Bulk describes Pm6Nd2Er3Tl after structural relaxation. The functional is GGA-PBE.

a b c (Å): 6.1965 6.1965 11.8701
angles (deg): 94.99 94.99 120.08
With the nearest neighbours (Å) after each atom.
Fractional coordinates of all 12 atoms:
1 Er 0.1670 0.8330 0.5000  6 Pm 3.54-3.58, 6 Er 3.57-3.59
2 Er 0.8330 0.1670 0.5000  6 Pm 3.54-3.58, 6 Er 3.57-3.59
3 Er 0.5000 0.5000 0.5000  6 Pm 3.54-3.57, 6 Er 3.58
4 Tl 0.0000 0.0000 0.0000  6 Nd 3.57-3.58, 6 Pm 3.58-3.59
5 Pm 0.9159 0.5892 0.7475  6 Pm 3.50-3.62, 3 Er 3.54-3.58, 1 Tl 3.58, 2 Nd 3.61-3.62
6 Pm 0.7577 0.7577 0.2532  6 Pm 3.50-3.62, 3 Er 3.54-3.57, 1 Tl 3.59, 2 Nd 3.62
7 Pm 0.0841 0.4108 0.2525  6 Pm 3.50-3.62, 3 Er 3.54-3.58, 1 Tl 3.58, 2 Nd 3.61-3.62
8 Pm 0.5892 0.9159 0.7475  6 Pm 3.50-3.62, 3 Er 3.54-3.58, 1 Tl 3.58, 2 Nd 3.61-3.62
9 Pm 0.2423 0.2423 0.7468  6 Pm 3.50-3.62, 3 Er 3.54-3.57, 1 Tl 3.59, 2 Nd 3.62
10 Pm 0.4108 0.0841 0.2525  6 Pm 3.50-3.62, 3 Er 3.54-3.58, 1 Tl 3.58, 2 Nd 3.61-3.62
11 Nd 0.3337 0.6663 0.0000  3 Nd 3.57-3.58, 3 Tl 3.57-3.58, 6 Pm 3.61-3.62
12 Nd 0.6663 0.3337 0.0000  3 Nd 3.57-3.58, 3 Tl 3.57-3.58, 6 Pm 3.61-3.62

Properties
Crystal system: monoclinic
Magnetic moment (μB/f.u.): 0.00
E_tot (eV for the cell shown): -54.4
Energy of formation from the pure elements (kJ/mol of formula units): -32


This record from Alexandria via LeMat-Bulk describes Pm2NdErTl2 after structural relaxation. The functional is GGA-PBE.

a b c (Å): 5.1861 6.9402 10.1857
angles (deg): 90.00 90.00 90.00
With the nearest neighbours (Å) after each atom.
Fractional coordinates of all 12 atoms:
1 Pm 0.5000 0.0545 0.0464  5 Tl 3.29-3.63, 4 Pm 3.52-3.60
2 Pm 0.5000 0.5545 0.9536  5 Tl 3.29-3.63, 4 Pm 3.52-3.60
3 Pm 0.0000 0.3336 0.1827  4 Tl 3.24-3.32, 2 Pm 3.52
4 Pm 0.0000 0.8336 0.8173  4 Tl 3.24-3.32, 2 Pm 3.52
5 Er 0.5000 0.6773 0.3110  4 Tl 3.21-3.25, 2 Nd 3.57
6 Er 0.5000 0.1773 0.6890  4 Tl 3.21-3.25, 2 Nd 3.57
7 Nd 0.0000 0.9599 0.4556  5 Tl 3.29-3.54, 2 Er 3.57, 2 Nd 3.59
8 Nd 0.0000 0.4599 0.5444  5 Tl 3.29-3.54, 2 Er 3.57, 2 Nd 3.59
9 Tl 0.5000 0.2236 0.3716  2 Er 3.21-3.25, 4 Nd 3.29-3.54, 3 Pm 3.32-3.51
10 Tl 0.0000 0.2968 0.8589  2 Er 3.23, 4 Pm 3.24-3.31, 1 Nd 3.40
11 Tl 0.0000 0.7968 0.1411  2 Er 3.23, 4 Pm 3.24-3.31, 1 Nd 3.40
12 Tl 0.5000 0.7236 0.6284  2 Er 3.21-3.25, 4 Nd 3.29-3.54, 3 Pm 3.32-3.51

Properties
Crystal system: orthorhombic
Magnetic moment (μB/f.u.): 0.00
E_tot (eV for the cell shown): -50.4
Energy of formation from the pure elements (kJ/mol of formula units): -156